(1)
Ba2Hg12Bi after structural relaxation. Source: Alexandria via LeMat-Bulk, functional GGA-PBE.

Properties
Final energy: -0.978 eV per atom
SG: P4/nbm, No. 125

Cell lengths 7.3069, 7.3061, 17.6068 Å; angles 90.00, 90.00, 90.00 degrees
Sites, in units of the cell vectors:
Ba  0.5000  0.0000  0.2463
Ba  0.0000  0.5000  0.2463
Ba  0.0000  0.5000  0.7537
Ba  0.5000  0.0000  0.7537
Hg  0.5000  0.5000  0.8044
Hg  0.0000  0.0000  0.8044
Hg  0.7501  0.7499  0.8960
Hg  0.2501  0.7501  0.8960
Hg  0.0000  0.0000  0.3630
Hg  0.2499  0.7499  0.1040
Hg  0.8445  0.3445  0.5669
Hg  0.5000  0.5000  0.3630
Hg  0.2499  0.2501  0.8960
Hg  0.7499  0.7501  0.1040
Hg  0.3445  0.1555  0.5669
Hg  0.6555  0.1555  0.4331
Hg  0.0000  0.0000  0.6370
Hg  0.1555  0.3445  0.4331
Hg  0.2501  0.2499  0.1040
Hg  0.8445  0.6555  0.4331
Hg  0.6555  0.8445  0.5669
Hg  0.0000  0.0000  0.1956
Hg  0.1555  0.6555  0.5669
Hg  0.5000  0.5000  0.6370
Hg  0.7499  0.2499  0.8960
Hg  0.5000  0.5000  0.1956
Hg  0.3445  0.8445  0.4331
Hg  0.7501  0.2501  0.1040
Bi  0.5000  0.0000  0.0000
Bi  0.0000  0.5000  0.0000

=====

(2)
SmAl2Zn8Cu after structural relaxation. Source: Alexandria via LeMat-Bulk, functional GGA-PBE.

Properties
Final energy: -2.272 eV per atom
SG: C2/m, No. 12

Cell lengths 4.7289, 4.7289, 10.3104 Å; angles 94.67, 94.67, 64.07 degrees
Sites, in units of the cell vectors:
Sm  0.0000  0.0000  0.5000
Al  0.6637  0.6637  0.3336
Al  0.3363  0.3363  0.6664
Zn  0.8346  0.3261  0.8091
Zn  0.6676  0.6676  0.0396
Zn  0.6838  0.6838  0.6174
Zn  0.3162  0.3162  0.3826
Zn  0.3324  0.3324  0.9604
Zn  0.3261  0.8346  0.8091
Zn  0.6739  0.1654  0.1909
Zn  0.1654  0.6739  0.1909
Cu  0.0000  0.0000  0.0000

=====

(3)
La2SiAg2 after structural relaxation. Source: Alexandria via LeMat-Bulk, functional GGA-PBE.

Properties
Uncorrected formation energy: -0.04 eV per atom
Final energy: -4.235 eV per atom
SG: P4/mbm, No. 127

Cell lengths 8.4381, 8.4381, 3.9708 Å; angles 90.00, 90.00, 90.00 degrees
Sites, in units of the cell vectors:
Si  0.0000  0.0000  0.0000
Si  0.5000  0.5000  0.0000
Ag  0.1191  0.6191  0.5000
Ag  0.6191  0.8809  0.5000
Ag  0.8809  0.3809  0.5000
Ag  0.3809  0.1191  0.5000
La  0.3215  0.8215  0.0000
La  0.8215  0.6785  0.0000
La  0.6785  0.1785  0.0000
La  0.1785  0.3215  0.0000

=====

(4)
LiAlSCl2 after structural relaxation. Source: Alexandria via LeMat-Bulk, functional GGA-PBE.

Properties
Uncorrected formation energy: -1.01 eV per atom
Final energy: -3.701 eV per atom
SG: P4/mmm, No. 123

Cell lengths 4.8711, 4.8711, 4.5398 Å; angles 90.00, 90.00, 90.00 degrees
Sites, in units of the cell vectors:
S  0.0000  0.0000  0.5000
Li  0.5000  0.5000  0.5000
Al  0.0000  0.0000  0.0000
Cl  0.0000  0.5000  0.0000
Cl  0.5000  0.0000  0.0000

=====

(5)
CaTb3Er6 after structural relaxation. Source: Alexandria via LeMat-Bulk, functional GGA-PBE.

Properties
Final energy: -4.070 eV per atom
SG: C2/m, No. 12

Cell lengths 6.5589, 9.5275, 9.5336 Å; angles 139.53, 110.12, 90.00 degrees
Sites, in units of the cell vectors:
Ca  0.5000  0.5000  0.0000
Tb  0.5675  0.9427  0.1349
Tb  0.4325  0.0573  0.8651
Tb  0.0000  0.0000  0.0000
Er  0.4344  0.5664  0.3760
Er  0.0583  0.4336  0.6240
Er  0.5656  0.4336  0.6240
Er  0.9417  0.5664  0.3760
Er  0.1416  0.8599  0.2832
Er  0.8584  0.1401  0.7168

=====

(6)
Pm3Zn2Sn after structural relaxation. Source: Alexandria via LeMat-Bulk, functional GGA-PBE.

Properties
Final energy: -3.909 eV per atom
SG: P4/mmm, No. 123

Cell lengths 3.6630, 3.6630, 11.5308 Å; angles 90.00, 90.00, 90.00 degrees
Sites, in units of the cell vectors:
Pm  0.0000  0.0000  0.0000
Pm  0.0000  0.0000  0.6833
Pm  0.0000  0.0000  0.3167
Zn  0.5000  0.5000  0.8487
Zn  0.5000  0.5000  0.1513
Sn  0.5000  0.5000  0.5000

=====

(7)
K2TaS3 after structural relaxation. Source: Alexandria via LeMat-Bulk, functional GGA-PBE.

Properties
Uncorrected formation energy: -0.86 eV per atom
Final energy: -5.264 eV per atom
SG: Immm, No. 71

Cell lengths 4.0564, 4.8693, 8.8623 Å; angles 105.95, 103.23, 90.00 degrees
Sites, in units of the cell vectors:
K  0.6575  0.6575  0.3151
K  0.3425  0.3425  0.6849
Ta  0.0000  0.0000  0.0000
S  0.0000  0.5000  0.0000
S  0.8579  0.8579  0.7159
S  0.1421  0.1421  0.2841

=====

(8)
Ba2CaBr2 after structural relaxation. Source: Alexandria via LeMat-Bulk, functional GGA-PBE.

Properties
Uncorrected formation energy: -1.07 eV per atom
Final energy: -2.911 eV per atom
SG: P4/mbm, No. 127

Cell lengths 9.6576, 9.6576, 4.1324 Å; angles 90.00, 90.00, 90.00 degrees
Sites, in units of the cell vectors:
Ca  0.0000  0.0000  0.0000
Ca  0.5000  0.5000  0.0000
Ba  0.1700  0.6700  0.5000
Ba  0.6700  0.8300  0.5000
Ba  0.8300  0.3300  0.5000
Ba  0.3300  0.1700  0.5000
Br  0.3698  0.8698  0.0000
Br  0.8698  0.6302  0.0000
Br  0.6302  0.1302  0.0000
Br  0.1302  0.3698  0.0000

=====

(9)
RbAcPd4 after structural relaxation. Source: Alexandria via LeMat-Bulk, functional GGA-PBE.

Properties
Final energy: -4.730 eV per atom
SG: F-43m, No. 216

Cell lengths 5.6653, 5.6653, 5.6653 Å; angles 60.00, 60.00, 60.00 degrees
Sites, in units of the cell vectors:
Ac  0.2500  0.2500  0.2500
Rb  0.0000  0.0000  0.0000
Pd  0.6247  0.6247  0.1259
Pd  0.6247  0.1259  0.6247
Pd  0.6247  0.6247  0.6247
Pd  0.1259  0.6247  0.6247

=====

Please write out number 7 again, unchanged.
K2TaS3 after structural relaxation. Source: Alexandria via LeMat-Bulk, functional GGA-PBE.

Properties
Uncorrected formation energy: -0.86 eV per atom
Final energy: -5.264 eV per atom
SG: Immm, No. 71

Cell lengths 4.0564, 4.8693, 8.8623 Å; angles 105.95, 103.23, 90.00 degrees
Sites, in units of the cell vectors:
K  0.6575  0.6575  0.3151
K  0.3425  0.3425  0.6849
Ta  0.0000  0.0000  0.0000
S  0.0000  0.5000  0.0000
S  0.8579  0.8579  0.7159
S  0.1421  0.1421  0.2841

=====

Which formula does entry 8 have? Ba2CaBr2

=====

final energy of number 1 (Ba2Hg12Bi)? -0.978 eV per atom